This record from Alexandria via LeMat-Bulk describes a relaxed Te2WNO crystal. The functional is PBE+U.

Properties
- Crystal system: tetragonal
- Magnetic moment: 1.9 Bohr magnetons per cell
- Calculated volume: 90.1 Å³ per cell
- Polymorph energy (0 for the lowest one): 410.8 meV/atom

Cell and atoms, written as CIF:
```
data_Te2WNO
_chemical_formula_sum 'Te2 W1 N1 O1'
_symmetry_space_group_name_H-M 'P 4/m m m'
_symmetry_Int_Tables_number 123
_symmetry_space_group_name_Hall '-P 4 2'
_cell_length_a 4.7183
_cell_length_b 4.7183
_cell_length_c 4.0478
_cell_angle_alpha 90.00
_cell_angle_beta 90.00
_cell_angle_gamma 90.00
loop_
_atom_site_label
_atom_site_fract_x
_atom_site_fract_y
_atom_site_fract_z
Te1 0.0000 0.5000 0.0000
W1 0.0000 0.0000 0.5000
N1 0.5000 0.5000 0.5000
O1 0.5000 0.5000 0.0000
```